## Mg2PdF (SCAN)

Data for Mg2PdF at its PBEsol-relaxed geometry.

Output
- symmetry = I-42d (122)
- ρ (g/cm³) = 4.7
- calculated total energy (Ry/atom) = -0.957
- E above lowest polymorph (meV per atom) = 0

Unit cell a=5.4339 b=5.4339 c=5.4339 alpha=107.05 beta=110.70 gamma=110.70
With the nearest neighbours (Å) after each atom.
Fractional positions:
Mg 0.9308 0.5558 0.1250  2 F 2.07
Mg 0.0692 0.1942 0.6250  2 F 2.07
Mg 0.5692 0.3750 0.4442  2 F 2.07
Mg 0.4308 0.8750 0.8058  2 F 2.07
Pd 0.0000 0.0000 0.0000  4 Mg 2.63
Pd 0.5000 0.7500 0.2500  4 Mg 2.63
F 0.0000 0.5000 0.5000  4 Mg 2.07
F 0.5000 0.2500 0.7500  4 Mg 2.07